No. 1
First-principles (PBE) data for an optimized crystal structure of Ca4PmPt5, as listed in Alexandria.

abc: 3.5337 3.5337 17.4212
angles: 90.00 90.00 90.00
Element x y z (fractional)
Pt 0.5000 0.5000 0.0986
Pt 0.5000 0.5000 0.6981
Pt 0.5000 0.5000 0.3019
Pt 0.5000 0.5000 0.9014
Pt 0.5000 0.5000 0.5000
Pm 0.0000 0.0000 0.0000
Ca 0.0000 0.0000 0.5984
Ca 0.0000 0.0000 0.2055
Ca 0.0000 0.0000 0.4016
Ca 0.0000 0.0000 0.7945

Values from the calculation:
Energy of formation (eV per atom): -0.94
SG: P4/mmm, No. 123
Crystal system: tetragonal
D(E_F) (states/eV per atom): 0.2407
Calculated volume (A^3/atom): 21.75

***

No. 2
First-principles (PBE) data for an optimized crystal structure of MgCdSi2Os, as listed in Alexandria.

abc: 4.8334 5.1381 4.8334
angles: 90.00 90.00 90.00
Each line ends with the local moment (μB).
Element x y z (fractional)
Si 0.5000 0.0000 0.0000  0.00
Si 0.0000 0.0000 0.5000  -0.01
Cd 0.0000 0.0000 0.0000  0.00
Mg 0.5000 0.5000 0.5000  -0.01
Os 0.0000 0.5000 0.0000  1.36

Values from the calculation:
SG: P4/mmm, No. 123
Crystal system: tetragonal
D(E_F) (states/eV per atom): 1.0506
Uncorrected formation energy (eV per atom): 1.672
Calculated volume (A^3/atom): 24.01

***

Which of these has the highest calculated volume? MgCdSi2Os

***

Among the records above, which one has the lowest D(E_F)? Ca4PmPt5

***

Among the records above, which one has the highest calculated volume? MgCdSi2Os

***

Number 1 is which compound? Ca4PmPt5